Entry 1:
The following is a GGA-PBE calculation of an optimized crystal structure of YCo9Si4, from Alexandria via LeMat-Bulk.

As for the crystal system: tetragonal. The value obtained for the energy relative to the elements, uncorrected is -0.49 eV per atom.

```
data_YCo9Si4
_cell_length_a 7.8934
_cell_length_b 7.8934
_cell_length_c 7.8934
_cell_angle_alpha 121.61
_cell_angle_beta 121.61
_cell_angle_gamma 87.24
_symmetry_space_group_name_H-M 'P 1'
_symmetry_Int_Tables_number 1
_symmetry_space_group_name_Hall 'P 1'
loop_
_atom_site_label
_atom_site_fract_x
_atom_site_fract_y
_atom_site_fract_z
Si1 0.0460 0.2098 0.5000
Si2 0.4540 0.9540 0.1638
Si3 0.2098 0.7098 0.1638
Si4 0.7098 0.5460 0.5000
Si5 0.9540 0.7902 0.5000
Si6 0.2902 0.4540 0.5000
Si7 0.5460 0.0460 0.8362
Si8 0.7902 0.2902 0.8362
Co1 0.6983 0.4294 0.1277
Co2 0.5706 0.6983 0.2689
Co3 0.0000 0.5000 0.5000
Co4 0.5491 0.3120 0.5000
Co5 0.6880 0.1880 0.2371
Co6 0.4509 0.6880 0.5000
Co7 0.5000 0.0000 0.5000
Co8 0.0706 0.8017 0.8723
Co9 0.0491 0.5491 0.2371
Co10 0.8120 0.0491 0.5000
Co11 0.1983 0.0706 0.2689
Co12 0.3017 0.5706 0.8723
Co13 0.9294 0.1983 0.1277
Co14 0.3120 0.8120 0.7629
Co15 0.9509 0.4509 0.7629
Co16 0.4294 0.3017 0.7311
Co17 0.1880 0.9509 0.5000
Co18 0.8017 0.9294 0.7311
Y1 0.2500 0.2500 0.0000
Y2 0.7500 0.7500 0.0000
```

---

Entry 2:
The following is a GGA-PBE calculation of an optimized crystal structure of LiAcNi, from Alexandria via LeMat-Bulk.

As for the crystal system: cubic. As for the formation energy: 36.0 meV per atom. As for the energy above the most stable polymorph in this dataset: 0.1878 eV per atom.

```
data_LiAcNi
_cell_length_a 4.8052
_cell_length_b 4.8052
_cell_length_c 4.8052
_cell_angle_alpha 60.00
_cell_angle_beta 60.00
_cell_angle_gamma 60.00
_symmetry_space_group_name_H-M 'P 1'
_symmetry_Int_Tables_number 1
_symmetry_space_group_name_Hall 'P 1'
loop_
_atom_site_label
_atom_site_fract_x
_atom_site_fract_y
_atom_site_fract_z
Ac1 0.5000 0.5000 0.5000
Li1 0.0000 0.0000 0.0000
Ni1 0.2500 0.2500 0.2500
```

---

Entry 3:
The following is a GGA-PBE calculation of an optimized crystal structure of Pr3AuSe2, from Alexandria via LeMat-Bulk.

As for the crystal system: monoclinic. The value obtained for the energy relative to the elements, uncorrected is -1.47 eV per atom.

```
data_Pr3AuSe2
_cell_length_a 6.0832
_cell_length_b 8.6854
_cell_length_c 12.8296
_cell_angle_alpha 90.00
_cell_angle_beta 90.00
_cell_angle_gamma 89.98
_symmetry_space_group_name_H-M 'P 1'
_symmetry_Int_Tables_number 1
_symmetry_space_group_name_Hall 'P 1'
loop_
_atom_site_label
_atom_site_fract_x
_atom_site_fract_y
_atom_site_fract_z
Pr1 0.2506 0.6283 0.5823
Pr2 0.2493 0.6317 0.2488
Pr3 0.2493 0.1317 0.2512
Pr4 0.2506 0.1283 0.9177
Pr5 0.7494 0.3717 0.4177
Pr6 0.2502 0.6187 0.9117
Pr7 0.2502 0.1187 0.5883
Pr8 0.7507 0.8683 0.7488
Pr9 0.7498 0.3813 0.0883
Pr10 0.7494 0.8717 0.0823
Pr11 0.7498 0.8813 0.4117
Pr12 0.7507 0.3683 0.7512
Se1 0.2498 0.3794 0.0840
Se2 0.2507 0.3742 0.7484
Se3 0.7502 0.6206 0.9160
Se4 0.2498 0.8794 0.4160
Se5 0.7493 0.1258 0.2484
Se6 0.7493 0.6258 0.2516
Se7 0.7502 0.1206 0.5840
Se8 0.2507 0.8742 0.7516
Au1 0.7506 0.6215 0.5817
Au2 0.2494 0.8785 0.0817
Au3 0.2494 0.3785 0.4183
Au4 0.7506 0.1215 0.9183
```

---

Entry 4:
The following is a GGA-PBE calculation of an optimized crystal structure of HoEr2Sc6, from Alexandria via LeMat-Bulk.

As for the crystal system: hexagonal. As for the formation energy: 71.4 meV per atom. As for the energy above the most stable polymorph in this dataset: 0.0079 eV per atom.

```
data_HoEr2Sc6
_cell_length_a 3.3866
_cell_length_b 3.3866
_cell_length_c 24.2621
_cell_angle_alpha 90.00
_cell_angle_beta 90.00
_cell_angle_gamma 120.00
_symmetry_space_group_name_H-M 'P 1'
_symmetry_Int_Tables_number 1
_symmetry_space_group_name_Hall 'P 1'
loop_
_atom_site_label
_atom_site_fract_x
_atom_site_fract_y
_atom_site_fract_z
Sc1 0.3333 0.6667 0.7840
Sc2 0.3333 0.6667 0.4380
Sc3 0.3333 0.6667 0.5620
Sc4 0.6667 0.3333 0.8876
Sc5 0.6667 0.3333 0.1124
Sc6 0.3333 0.6667 0.2160
Ho1 0.3333 0.6667 0.0000
Er1 0.6667 0.3333 0.6724
Er2 0.6667 0.3333 0.3276
```

---

Entry 5:
The following is a GGA-PBE calculation of an optimized crystal structure of RbTi2Ga, from Alexandria via LeMat-Bulk.

As for the crystal system: tetragonal. As for the formation energy: 945.7 meV per atom.

```
data_RbTi2Ga
_cell_length_a 4.8887
_cell_length_b 4.8887
_cell_length_c 10.5195
_cell_angle_alpha 76.56
_cell_angle_beta 76.56
_cell_angle_gamma 90.00
_symmetry_space_group_name_H-M 'P 1'
_symmetry_Int_Tables_number 1
_symmetry_space_group_name_Hall 'P 1'
loop_
_atom_site_label
_atom_site_fract_x
_atom_site_fract_y
_atom_site_fract_z
Ti1 0.3539 0.1250 0.2500
Ti2 0.3961 0.6250 0.2500
Ti3 0.3750 0.6461 0.7500
Ti4 0.8750 0.6039 0.7500
Ga1 0.5000 0.5000 0.0000
Ga2 0.2500 0.7500 0.5000
Rb1 0.0000 0.0000 0.0000
Rb2 0.7500 0.2500 0.5000
```

---

Entry 6:
The following is a GGA-PBE calculation of an optimized crystal structure of Pm3Sn2Ge3, from Alexandria via LeMat-Bulk.

As for the crystal system: orthorhombic. As for the formation energy: -580.5 meV per atom.

```
data_Pm3Sn2Ge3
_cell_length_a 4.3659
_cell_length_b 4.2544
_cell_length_c 11.2866
_cell_angle_alpha 100.86
_cell_angle_beta 101.15
_cell_angle_gamma 90.00
_symmetry_space_group_name_H-M 'P 1'
_symmetry_Int_Tables_number 1
_symmetry_space_group_name_Hall 'P 1'
loop_
_atom_site_label
_atom_site_fract_x
_atom_site_fract_y
_atom_site_fract_z
Sn1 0.7508 0.2508 0.5016
Sn2 0.2492 0.7492 0.4984
Ge1 0.0000 0.5000 0.0000
Ge2 0.1028 0.1028 0.2056
Ge3 0.8972 0.8972 0.7944
Pm1 0.3680 0.3680 0.7359
Pm2 0.5000 0.0000 0.0000
Pm3 0.6320 0.6320 0.2641
```

---

Entry 7:
The following is a GGA-PBE calculation of an optimized crystal structure of KIrPb2O6, from Alexandria via LeMat-Bulk.

As for the crystal system: monoclinic. The value obtained for the energy relative to the elements, uncorrected is -1.05 eV per atom.

```
data_KIrPb2O6
_cell_length_a 5.7615
_cell_length_b 6.3683
_cell_length_c 8.5766
_cell_angle_alpha 90.00
_cell_angle_beta 89.83
_cell_angle_gamma 90.00
_symmetry_space_group_name_H-M 'P 1'
_symmetry_Int_Tables_number 1
_symmetry_space_group_name_Hall 'P 1'
loop_
_atom_site_label
_atom_site_fract_x
_atom_site_fract_y
_atom_site_fract_z
O1 0.3562 0.8090 0.3497
O2 0.3652 0.8374 0.6716
O3 0.1438 0.3090 0.1503
O4 0.8652 0.6626 0.1716
O5 0.8562 0.6910 0.8497
O6 0.1348 0.3374 0.8284
O7 0.6438 0.1910 0.6503
O8 0.7958 0.8473 0.5046
O9 0.6348 0.1626 0.3284
O10 0.7042 0.3473 0.9954
O11 0.2958 0.6527 0.0046
O12 0.2042 0.1527 0.4954
Pb1 0.0013 0.9921 0.2851
Pb2 0.9987 0.0079 0.7149
Pb3 0.5013 0.5079 0.7851
Pb4 0.4987 0.4921 0.2149
K1 0.5000 0.0000 0.0000
K2 0.0000 0.5000 0.5000
Ir1 0.5000 0.0000 0.5000
Ir2 0.0000 0.5000 0.0000
```

---

Entry 8:
The following is a GGA-PBE calculation of an optimized crystal structure of SmHoTeP, from Alexandria via LeMat-Bulk.

As for the crystal system: trigonal. The value obtained for the energy relative to the elements, uncorrected is -1.54 eV per atom.

```
data_SmHoTeP
_cell_length_a 4.1093
_cell_length_b 4.1096
_cell_length_c 7.6639
_cell_angle_alpha 90.00
_cell_angle_beta 105.55
_cell_angle_gamma 120.00
_symmetry_space_group_name_H-M 'P 1'
_symmetry_Int_Tables_number 1
_symmetry_space_group_name_Hall 'P 1'
loop_
_atom_site_label
_atom_site_fract_x
_atom_site_fract_y
_atom_site_fract_z
Sm1 0.4954 0.1456 0.6562
P1 0.3108 0.5533 0.8795
Ho1 0.1086 0.9522 0.0761
Te1 0.9632 0.3797 0.3579
```

---

Entry 9:
The following is a GGA-PBE calculation of an optimized crystal structure of CeNdTe2, from Alexandria via LeMat-Bulk.

As for the crystal system: cubic. The value obtained for the energy relative to the elements, uncorrected is -1.28 eV per atom. As for the energy above the most stable polymorph in this dataset: 0.1243 eV per atom.

```
data_CeNdTe2
_cell_length_a 5.4737
_cell_length_b 5.4737
_cell_length_c 5.4737
_cell_angle_alpha 60.00
_cell_angle_beta 60.00
_cell_angle_gamma 60.00
_symmetry_space_group_name_H-M 'P 1'
_symmetry_Int_Tables_number 1
_symmetry_space_group_name_Hall 'P 1'
loop_
_atom_site_label
_atom_site_fract_x
_atom_site_fract_y
_atom_site_fract_z
Te1 0.2500 0.2500 0.2500
Te2 0.7500 0.7500 0.7500
Nd1 0.0000 0.0000 0.0000
Ce1 0.5000 0.5000 0.5000
```

---

Entry 10:
The following is a GGA-PBE calculation of an optimized crystal structure of KNa3Sb, from Alexandria via LeMat-Bulk.

As for the crystal system: cubic. The value obtained for the energy relative to the elements, uncorrected is -0.21 eV per atom. As for the energy above the most stable polymorph in this dataset: 0.0626 eV per atom.

```
data_KNa3Sb
_cell_length_a 6.0534
_cell_length_b 6.0534
_cell_length_c 6.0534
_cell_angle_alpha 90.00
_cell_angle_beta 90.00
_cell_angle_gamma 90.00
_symmetry_space_group_name_H-M 'P 1'
_symmetry_Int_Tables_number 1
_symmetry_space_group_name_Hall 'P 1'
loop_
_atom_site_label
_atom_site_fract_x
_atom_site_fract_y
_atom_site_fract_z
Na1 0.0000 0.5000 0.0000
Na2 0.5000 0.0000 0.0000
Na3 0.0000 0.0000 0.5000
Sb1 0.0000 0.0000 0.0000
K1 0.5000 0.5000 0.5000
```

---

Entry 11:
The following is a GGA-PBE calculation of an optimized crystal structure of Ce5Pu2Tl5, from Alexandria via LeMat-Bulk.

As for the crystal system: monoclinic. As for the formation energy: -5.8 meV per atom.

```
data_Ce5Pu2Tl5
_cell_length_a 3.5500
_cell_length_b 7.9795
_cell_length_c 13.1793
_cell_angle_alpha 108.72
_cell_angle_beta 90.00
_cell_angle_gamma 102.85
_symmetry_space_group_name_H-M 'P 1'
_symmetry_Int_Tables_number 1
_symmetry_space_group_name_Hall 'P 1'
loop_
_atom_site_label
_atom_site_fract_x
_atom_site_fract_y
_atom_site_fract_z
Pu1 0.9185 0.8370 0.1561
Pu2 0.0815 0.1630 0.8439
Tl1 0.5000 0.0000 0.5000
Tl2 0.2226 0.4451 0.5817
Tl3 0.3087 0.6173 0.9313
Tl4 0.6913 0.3827 0.0687
Tl5 0.7774 0.5549 0.4183
Ce1 0.0689 0.1378 0.3061
Ce2 0.0000 0.0000 0.0000
Ce3 0.9311 0.8622 0.6939
Ce4 0.6488 0.2977 0.7448
Ce5 0.3512 0.7023 0.2552
```

---

Entry 12:
The following is a GGA-PBE calculation of an optimized crystal structure of CuSbN3, from Alexandria via LeMat-Bulk.

As for the crystal system: cubic. The value obtained for the energy relative to the elements, uncorrected is 1.83 eV per atom.

```
data_CuSbN3
_cell_length_a 4.0341
_cell_length_b 4.0341
_cell_length_c 4.0341
_cell_angle_alpha 90.00
_cell_angle_beta 90.00
_cell_angle_gamma 90.00
_symmetry_space_group_name_H-M 'P 1'
_symmetry_Int_Tables_number 1
_symmetry_space_group_name_Hall 'P 1'
loop_
_atom_site_label
_atom_site_fract_x
_atom_site_fract_y
_atom_site_fract_z
N1 0.0000 0.0000 0.5000
N2 0.0000 0.5000 0.0000
N3 0.5000 0.0000 0.0000
Sb1 0.0000 0.0000 0.0000
Cu1 0.5000 0.5000 0.5000
```

---

Entry 13:
The following is a GGA-PBE calculation of an optimized crystal structure of OsPt2Cl, from Alexandria via LeMat-Bulk.

As for the crystal system: trigonal. The value obtained for the energy relative to the elements, uncorrected is 0.40 eV per atom. As for the energy above the most stable polymorph in this dataset: 0.1037 eV per atom.

```
data_OsPt2Cl
_cell_length_a 9.4984
_cell_length_b 9.4984
_cell_length_c 9.4984
_cell_angle_alpha 17.32
_cell_angle_beta 17.32
_cell_angle_gamma 17.32
_symmetry_space_group_name_H-M 'P 1'
_symmetry_Int_Tables_number 1
_symmetry_space_group_name_Hall 'P 1'
loop_
_atom_site_label
_atom_site_fract_x
_atom_site_fract_y
_atom_site_fract_z
Cl1 0.4845 0.4845 0.4845
Os1 0.7480 0.7480 0.7480
Pt1 0.0077 0.0077 0.0077
Pt2 0.2598 0.2598 0.2598
```

---

Entry 14:
The following is a GGA-PBE calculation of an optimized crystal structure of FePSe, from Alexandria via LeMat-Bulk.

As for the crystal system: tetragonal. The value obtained for the energy relative to the elements, uncorrected is 0.06 eV per atom.

```
data_FePSe
_cell_length_a 6.6821
_cell_length_b 6.6821
_cell_length_c 2.8154
_cell_angle_alpha 77.84
_cell_angle_beta 77.84
_cell_angle_gamma 24.32
_symmetry_space_group_name_H-M 'P 1'
_symmetry_Int_Tables_number 1
_symmetry_space_group_name_Hall 'P 1'
loop_
_atom_site_label
_atom_site_fract_x
_atom_site_fract_y
_atom_site_fract_z
P1 0.3864 0.3865 0.6136
Se1 0.6165 0.6166 0.3835
Fe1 0.9971 0.9969 0.0029
```